# BaAlCuNiO5

Crystalline BaAlCuNiO5 at its relaxed geometry (GGA+U, Alexandria).

abc: 3.729 3.729 7.596
angles: 90.00 90.00 90.00
Atoms (fractional coordinates):
1 Ba 0.000 0.000 0.977
2 Al 0.000 0.000 0.481
3 Cu 0.500 0.500 0.244
4 Ni 0.500 0.500 0.689
5 O 0.000 0.500 0.621
6 O 0.500 0.000 0.621
7 O 0.000 0.500 0.301
8 O 0.500 0.000 0.301
9 O 0.500 0.500 0.953

Final energy ... -50.477 eV for the cell shown
Density of states at the Fermi level ... 2.93 states/eV/cell